Entry 1:
Ce12Cr3H5: relaxed, GGA-PBE.

```
80
Lattice="-7.368 7.368 7.368 7.368 -7.368 7.368 7.368 7.368 -7.368" Properties=species:S:1:pos:R:3 pbc="T T T"
Ce 2.269 -0.519 1.126
Ce 8.783 4.809 -4.203
Ce 6.849 -1.126 2.269
Ce 11.571 -1.415 2.558
Ce 9.637 0.519 1.126
Ce 8.783 -2.558 4.203
Ce 1.126 2.269 -0.519
Ce 9.926 3.165 -1.415
Ce 4.809 4.203 -1.415
Ce 6.242 2.269 0.519
Ce -0.519 1.126 2.269
Ce 4.203 -1.415 4.809
Ce 6.849 6.242 -2.269
Ce 4.203 1.415 2.558
Ce 6.242 -2.269 6.849
Ce 4.809 -4.203 8.783
Ce 2.558 4.203 1.415
Ce 8.493 5.099 0.519
Ce 2.269 6.849 -1.126
Ce 8.783 2.558 3.165
Ce 4.203 8.783 -2.558
Ce 6.849 1.126 5.099
Ce 1.415 2.558 4.203
Ce 2.269 0.519 6.242
Ce 5.099 6.849 1.126
Ce 5.953 4.809 3.165
Ce 0.519 6.242 2.269
Ce 3.165 -1.415 9.926
Ce -1.415 4.809 4.203
Ce 5.099 0.519 8.493
Ce -1.126 2.269 6.849
Ce 4.809 3.165 5.953
Ce 2.558 11.571 -1.415
Ce 1.126 9.637 0.519
Ce 3.165 5.953 4.809
Ce 0.519 1.126 9.637
Ce 3.165 8.783 2.558
Ce 7.887 6.242 5.099
Ce 1.126 5.099 6.849
Ce 2.558 3.165 8.783
Ce -2.558 4.203 8.783
Ce 6.242 5.099 7.887
Ce -1.415 9.926 3.165
Ce -2.269 6.849 6.242
Ce -4.203 8.783 4.809
Ce 0.519 8.493 5.099
Ce -1.415 2.558 11.571
Ce 5.099 7.887 6.242
Cr 3.684 1.842 0.000
Cr 7.368 3.684 -1.842
Cr 1.842 0.000 3.684
Cr 9.210 0.000 3.684
Cr 0.000 3.684 1.842
Cr 3.684 -1.842 7.368
Cr 3.684 9.210 0.000
Cr 7.368 3.684 5.526
Cr -1.842 7.368 3.684
Cr 5.526 7.368 3.684
Cr 0.000 3.684 9.210
Cr 3.684 5.526 7.368
H 0.000 0.000 0.000
H 3.684 3.684 -3.684
H 3.684 -3.684 3.684
H 7.368 0.000 0.000
H 11.052 1.842 0.000
H 7.368 -3.684 5.526
H 5.526 7.368 -3.684
H 5.526 0.000 3.684
H 3.684 5.526 0.000
H 7.368 3.684 1.842
H -3.684 3.684 3.684
H 0.000 7.368 0.000
H 0.000 0.000 7.368
H 3.684 3.684 3.684
H 0.000 3.684 5.526
H 3.684 1.842 7.368
H 1.842 7.368 3.684
H 1.842 0.000 11.052
H 0.000 11.052 1.842
H -3.684 5.526 7.368
```

Calculated values
N(E_F) ... 165.917 states/eV/cell
V ... 1599.9 Å³ per cell
Electronic total energy ... -5.754 eV/atom

---

Entry 2:
CeMg2CrH8: relaxed, GGA-PBE.

```
12
Lattice="4.509 0.000 0.000 0.015 4.589 0.000 1.869 0.004 5.282" Properties=species:S:1:pos:R:3 pbc="T T T"
Ce 0.000 0.000 0.000
Mg 2.349 2.299 1.526
Mg 4.043 2.294 3.757
Cr 3.189 0.002 2.641
H 1.010 2.293 0.185
H 2.144 1.185 3.248
H 2.184 3.397 3.263
H 2.325 4.572 1.131
H 4.068 0.021 4.151
H 4.208 1.196 2.019
H 4.249 3.408 2.034
H 5.383 2.300 5.098
```

Calculated values
N(E_F) ... 4.188 states/eV/cell
V ... 109.3 Å³ per cell
Electronic total energy ... -4.042 eV/atom

---

Entry 3:
CeCrNi2H8: relaxed, GGA-PBE.

```
12
Lattice="2.250 1.299 5.351 -2.250 1.299 5.351 0.000 -2.598 5.351" Properties=species:S:1:pos:R:3 pbc="T T T"
Ce 0.000 0.000 0.000
Cr 0.000 0.000 8.027
Ni 0.000 0.000 3.421
Ni 0.000 0.000 12.633
H -1.500 0.151 7.161
H -0.881 -1.223 8.893
H 0.000 0.000 5.024
H 0.619 -1.375 7.161
H -0.619 1.375 8.893
H 0.000 0.000 11.030
H 0.881 1.223 7.161
H 1.500 -0.151 8.893
```

Calculated values
N(E_F) ... 5.958 states/eV/cell
V ... 93.8 Å³ per cell
Electronic total energy ... -4.633 eV/atom

---

Entry 4:
CeZn2CrH8: relaxed, GGA-PBE.

```
12
Lattice="4.442 0.000 0.000 0.061 4.621 0.000 0.183 1.224 5.101" Properties=species:S:1:pos:R:3 pbc="T T T"
Ce 0.000 0.000 0.000
Zn 2.294 2.050 1.561
Zn 2.392 3.795 3.540
Cr 0.122 2.922 2.550
H 0.595 3.488 4.103
H 0.989 1.484 2.816
H 1.326 3.782 1.763
H 2.213 0.853 0.388
H 2.473 4.991 4.713
H 3.360 2.063 3.338
H 3.697 4.361 2.285
H 4.091 2.357 0.998
```

Calculated values
N(E_F) ... 5.094 states/eV/cell
V ... 104.7 Å³ per cell
Electronic total energy ... -3.852 eV/atom

---

Entry 5:
Ce2HfCr2N6: relaxed, GGA-PBE.

```
11
Lattice="2.887 1.667 5.497 -2.887 1.667 5.497 0.000 -3.333 5.497" Properties=species:S:1:pos:R:3 pbc="T T T"
Ce 0.000 0.000 3.389
Ce 0.000 0.000 13.103
Hf 0.000 0.000 0.000
Cr 0.000 0.000 7.174
Cr 0.000 0.000 9.318
N -1.496 -0.864 9.575
N 0.000 -1.727 6.917
N -1.496 0.864 6.917
N 1.496 -0.864 9.575
N 0.000 1.727 9.575
N 1.496 0.864 6.917
```

Calculated values
N(E_F) ... 12.596 states/eV/cell
V ... 158.7 Å³ per cell
Electronic total energy ... -9.153 eV/atom